No. 1
# PBE LiLa2TiO6, optimized geometry
# - total moment (μB/f.u.) = 1.07
# - energy (eV per cell) = -157.5
# - space group = P2_1/c (14)
# - E_form (uncorrected) (eV per atom) = -2.936
# - N(E_F) (states/eV/cell) = 14.3
data_LiLa2TiO6
_chemical_formula_sum 'Li2 La4 Ti2 O12'
_space_group_name_H-M_alt 'P 1'
_space_group_IT_number 1
_cell_length_a 5.813
_cell_length_b 5.551
_cell_length_c 9.550
_cell_angle_alpha 55.20
_cell_angle_beta 90.00
_cell_angle_gamma 90.00
loop_
_space_group_symop_operation_xyz
'x,y,z'
loop_
_atom_site_label
_atom_site_type_symbol
_atom_site_fract_x
_atom_site_fract_y
_atom_site_fract_z
Li1 Li 0.000 0.000 0.000
Li2 Li 0.500 0.000 0.500
La1 La 0.439 0.235 0.752
La2 La 0.561 0.765 0.248
La3 La 0.939 0.765 0.748
La4 La 0.061 0.235 0.252
Ti1 Ti 0.000 0.500 0.500
Ti2 Ti 0.500 0.500 0.000
O1 O 0.686 0.833 0.956
O2 O 0.314 0.167 0.044
O3 O 0.186 0.167 0.544
O4 O 0.814 0.833 0.456
O5 O 0.215 0.734 0.951
O6 O 0.785 0.266 0.049
O7 O 0.715 0.266 0.549
O8 O 0.285 0.734 0.451
O9 O 0.030 0.348 0.742
O10 O 0.970 0.652 0.258
O11 O 0.530 0.652 0.758
O12 O 0.470 0.348 0.242



No. 2
# PBE K3La3ZrTe8, optimized geometry
# - total moment (μB/f.u.) = 0.00
# - energy (eV per cell) = -72.0
# - space group = R-3m (166)
# - E_form (uncorrected) (eV per atom) = -1.346
data_K3La3ZrTe8
_chemical_formula_sum 'K3 La3 Zr1 Te8'
_space_group_name_H-M_alt 'P 1'
_space_group_IT_number 1
_cell_length_a 9.166
_cell_length_b 9.167
_cell_length_c 9.927
_cell_angle_alpha 117.52
_cell_angle_beta 90.00
_cell_angle_gamma 120.00
loop_
_space_group_symop_operation_xyz
'x,y,z'
loop_
_atom_site_label
_atom_site_type_symbol
_atom_site_fract_x
_atom_site_fract_y
_atom_site_fract_z
K1 K 0.000 0.000 0.000
K2 K 0.000 0.500 0.000
K3 K 0.500 0.500 0.000
La1 La 0.500 0.000 0.500
La2 La 0.500 0.500 0.500
La3 La 0.000 0.500 0.500
Zr1 Zr 0.000 0.000 0.500
Te1 Te 0.260 0.521 0.281
Te2 Te 0.740 0.479 0.719
Te3 Te 0.778 0.557 0.297
Te4 Te 0.222 0.443 0.703
Te5 Te 0.779 0.019 0.297
Te6 Te 0.221 0.981 0.703
Te7 Te 0.240 0.019 0.297
Te8 Te 0.760 0.981 0.703



No. 3
# PBE CaTeBrCl, optimized geometry
# - total moment (μB/f.u.) = 0.00
# - polymorph energy (0 for the lowest one) (meV/atom) = 76.6
# - energy (eV per cell) = -13.5
# - space group = Pm (6)
# - E_form (uncorrected) (eV per atom) = -1.197
# - N(E_F) (states/eV/cell) = 0.2
data_CaTeBrCl
_chemical_formula_sum 'Ca1 Te1 Br1 Cl1'
_space_group_name_H-M_alt 'P 1'
_space_group_IT_number 1
_cell_length_a 4.680
_cell_length_b 5.233
_cell_length_c 5.244
_cell_angle_alpha 90.00
_cell_angle_beta 111.98
_cell_angle_gamma 90.00
loop_
_space_group_symop_operation_xyz
'x,y,z'
loop_
_atom_site_label
_atom_site_type_symbol
_atom_site_fract_x
_atom_site_fract_y
_atom_site_fract_z
Ca1 Ca 0.304 0.000 0.074
Te1 Te 0.955 0.500 0.255
Br1 Br 0.620 0.000 0.678
Cl1 Cl 0.144 0.500 0.767



No. 4
# PBE AlFeTcMo, optimized geometry
# - energy of formation from the pure elements (eV per atom) = -0.217
# - total moment (μB/f.u.) = 0.00
# - energy (eV per cell) = -34.3
# - space group = F-43m (216)
# - N(E_F) (states/eV/cell) = 2.9
data_AlFeTcMo
_chemical_formula_sum 'Al1 Fe1 Tc1 Mo1'
_space_group_name_H-M_alt 'P 1'
_space_group_IT_number 1
_cell_length_a 4.261
_cell_length_b 4.261
_cell_length_c 4.261
_cell_angle_alpha 60.00
_cell_angle_beta 60.00
_cell_angle_gamma 60.00
loop_
_space_group_symop_operation_xyz
'x,y,z'
loop_
_atom_site_label
_atom_site_type_symbol
_atom_site_fract_x
_atom_site_fract_y
_atom_site_fract_z
Mo1 Mo 0.000 0.000 0.000
Al1 Al 0.500 0.500 0.500
Tc1 Tc 0.750 0.750 0.750
Fe1 Fe 0.250 0.250 0.250



No. 5
# PBE DyGaSn2, optimized geometry
# - energy of formation from the pure elements (eV per atom) = 0.282
# - total moment (μB/f.u.) = 0.00
# - polymorph energy (0 for the lowest one) (meV/atom) = 744.6
# - energy (eV per cell) = -14.5
# - space group = R-3m (166)
# - N(E_F) (states/eV/cell) = 3.5
data_DyGaSn2
_chemical_formula_sum 'Dy1 Ga1 Sn2'
_space_group_name_H-M_alt 'P 1'
_space_group_IT_number 1
_cell_length_a 4.977
_cell_length_b 4.977
_cell_length_c 8.134
_cell_angle_alpha 72.19
_cell_angle_beta 72.19
_cell_angle_gamma 60.00
loop_
_space_group_symop_operation_xyz
'x,y,z'
loop_
_atom_site_label
_atom_site_type_symbol
_atom_site_fract_x
_atom_site_fract_y
_atom_site_fract_z
Sn1 Sn 0.116 0.116 0.653
Sn2 Sn 0.884 0.884 0.347
Ga1 Ga 0.000 0.000 0.000
Dy1 Dy 0.500 0.500 0.500



No. 6
# PBE AcNdEr2Tm, optimized geometry
# - energy of formation from the pure elements (eV per atom) = 0.394
# - total moment (μB/f.u.) = 0.00
# - energy (eV per cell) = -41.0
# - space group = Cmcm (63)
# - N(E_F) (states/eV/cell) = 16.9
data_AcNdEr2Tm
_chemical_formula_sum 'Ac2 Nd2 Er4 Tm2'
_space_group_name_H-M_alt 'P 1'
_space_group_IT_number 1
_cell_length_a 6.440
_cell_length_b 6.430
_cell_length_c 9.393
_cell_angle_alpha 110.02
_cell_angle_beta 90.00
_cell_angle_gamma 90.00
loop_
_space_group_symop_operation_xyz
'x,y,z'
loop_
_atom_site_label
_atom_site_type_symbol
_atom_site_fract_x
_atom_site_fract_y
_atom_site_fract_z
Ac1 Ac 0.250 0.659 0.317
Ac2 Ac 0.750 0.341 0.683
Nd1 Nd 0.250 0.847 0.694
Nd2 Nd 0.750 0.153 0.306
Er1 Er 0.500 0.249 0.000
Er2 Er 0.000 0.751 0.000
Er3 Er 0.500 0.751 0.000
Er4 Er 0.000 0.249 0.000
Tm1 Tm 0.750 0.746 0.492
Tm2 Tm 0.250 0.254 0.508



No. 7
# PBE Ta2AlCd, optimized geometry
# - energy of formation from the pure elements (eV per atom) = 0.086
# - total moment (μB/f.u.) = 0.00
# - polymorph energy (0 for the lowest one) (meV/atom) = 62.8
# - energy (eV per cell) = -28.0
# - space group = Pmmm (47)
# - N(E_F) (states/eV/cell) = 1.8
data_Ta2AlCd
_chemical_formula_sum 'Ta2 Al1 Cd1'
_space_group_name_H-M_alt 'P 1'
_space_group_IT_number 1
_cell_length_a 3.795
_cell_length_b 4.217
_cell_length_c 4.492
_cell_angle_alpha 90.00
_cell_angle_beta 90.00
_cell_angle_gamma 90.00
loop_
_space_group_symop_operation_xyz
'x,y,z'
loop_
_atom_site_label
_atom_site_type_symbol
_atom_site_fract_x
_atom_site_fract_y
_atom_site_fract_z
Cd1 Cd 0.000 0.500 0.500
Al1 Al 0.500 0.000 0.500
Ta1 Ta 0.000 0.000 0.000
Ta2 Ta 0.500 0.500 0.000